Computed, not measured: crystalline Ni2P2O7 at its relaxed geometry at the GGA+U level of DFT.

a b c (Å): 4.514 5.284 5.284
angles (deg): 104.17 98.05 98.05
Last column: magnetic moment on the atom in μB.
Fractional positions:
Ni 0.500 0.314 0.686  1.81
Ni 0.500 0.686 0.314  1.81
P 0.093 0.780 0.780  0.01
P 0.907 0.220 0.220  0.01
O 0.000 0.000 0.000  0.01
O 0.784 0.620 0.620  0.04
O 0.216 0.380 0.380  0.04
O 0.723 0.382 0.074  0.04
O 0.277 0.926 0.618  0.04
O 0.277 0.618 0.926  0.04
O 0.723 0.074 0.382  0.04

Summary:
- distance to the lowest polymorph of the same formula (kJ/mol of formula units) = 12
- E (eV per cell) = -71.02